[1]
BaBePt2 after structural relaxation. Source: Alexandria via LeMat-Bulk, functional GGA-PBE.

Computed properties:
energy of formation = -0.275 eV per atom
M_tot = 0.000 μB per atom

Unit cell a=5.4208 b=5.4208 c=5.4208 alpha=141.86 beta=112.90 gamma=79.88
Fractional positions:
Be (0.2500, 0.7500, 0.5000)
Ba (0.7500, 0.2500, 0.5000)
Pt (0.0815, 0.0815, 0.0000)
Pt (0.4185, 0.4185, 0.0000)

[2]
BaBePt3 after structural relaxation. Source: Alexandria via LeMat-Bulk, functional GGA-PBE.

Computed properties:
energy of formation = 2.040 eV per atom
M_tot = 0.000 μB per atom

Unit cell a=5.3915 b=5.3915 c=5.3915 alpha=90.00 beta=90.00 gamma=90.00
Fractional positions:
Be (0.5000, 0.5000, 0.5000)
Ba (0.0000, 0.0000, 0.0000)
Pt (0.0000, 0.5000, 0.0000)
Pt (0.0000, 0.0000, 0.5000)
Pt (0.5000, 0.0000, 0.0000)

[3]
BaBePt2 after structural relaxation. Source: Alexandria via LeMat-Bulk, functional GGA-PBE.

Computed properties:
energy of formation = 0.199 eV per atom
M_tot = 0.000 μB per atom

Unit cell a=5.4214 b=5.4214 c=5.4214 alpha=134.12 beta=134.12 gamma=66.90
Fractional positions:
Be (0.7500, 0.2500, 0.5000)
Ba (0.5000, 0.5000, 0.0000)
Pt (0.0000, 0.0000, 0.0000)
Pt (0.2500, 0.7500, 0.5000)

[4]
BaBePt2 after structural relaxation. Source: Alexandria via LeMat-Bulk, functional GGA-PBE.

Computed properties:
energy of formation = -0.614 eV per atom
M_tot = 0.000 μB per atom

Unit cell a=4.4217 b=4.9885 c=6.6669 alpha=138.43 beta=99.40 gamma=89.87
Fractional positions:
Be (0.1780, 0.5549, 0.5537)
Ba (0.5922, 0.4664, 0.9665)
Pt (0.0838, 0.0207, 0.0215)
Pt (0.6459, 0.4580, 0.4584)

[5]
BaBe2Pt after structural relaxation. Source: Alexandria via LeMat-Bulk, functional GGA-PBE.

Computed properties:
energy of formation = -0.204 eV per atom
M_tot = 0.000 μB per atom

Unit cell a=3.9562 b=4.4485 c=5.2389 alpha=89.89 beta=90.00 gamma=90.00
Fractional positions:
Be (0.0000, 0.9885, 0.2499)
Be (0.5000, 0.2707, 0.2499)
Ba (0.5000, 0.7530, 0.7499)
Pt (0.0000, 0.4878, 0.2503)

[6]
BaBePt2 after structural relaxation. Source: Alexandria via LeMat-Bulk, functional GGA-PBE.

Computed properties:
energy of formation = -0.579 eV per atom
M_tot = 0.000 μB per atom

Unit cell a=5.2207 b=5.2207 c=8.2055 alpha=71.45 beta=71.45 gamma=90.00
Fractional positions:
Be (0.5000, 0.5000, 0.0000)
Be (0.2500, 0.7500, 0.5000)
Ba (0.0000, 0.0000, 0.0000)
Ba (0.7500, 0.2500, 0.5000)
Pt (0.3615, 0.1250, 0.2500)
Pt (0.3885, 0.6250, 0.2500)
Pt (0.3750, 0.6385, 0.7500)
Pt (0.8750, 0.6115, 0.7500)

[7]
BaBe2Pt after structural relaxation. Source: Alexandria via LeMat-Bulk, functional GGA-PBE.

Computed properties:
energy of formation = -0.423 eV per atom
M_tot = 0.000 μB per atom

Unit cell a=4.0503 b=4.0503 c=6.0862 alpha=71.17 beta=71.17 gamma=59.63
Fractional positions:
Be (0.0690, 0.0690, 0.7902)
Be (0.4310, 0.4310, 0.7098)
Ba (0.2500, 0.2500, 0.2500)
Pt (0.7500, 0.7500, 0.7500)

[8]
BaBe2Pt after structural relaxation. Source: Alexandria via LeMat-Bulk, functional GGA-PBE.

Computed properties:
energy of formation = -0.258 eV per atom
M_tot = 0.000 μB per atom

Unit cell a=5.0841 b=5.0841 c=7.9827 alpha=71.43 beta=71.43 gamma=90.00
Fractional positions:
Be (0.8750, 0.1250, 0.2500)
Be (0.8750, 0.6250, 0.2500)
Be (0.3750, 0.1250, 0.7500)
Be (0.8750, 0.1250, 0.7500)
Ba (0.5000, 0.5000, 0.0000)
Ba (0.2500, 0.7500, 0.5000)
Pt (0.0000, 0.0000, 0.0000)
Pt (0.7500, 0.2500, 0.5000)